A plane-wave DFT calculation with PBE was carried out for crystalline SiB2W at its relaxed geometry.

It has space group I-42d (No. 122), with a = 5.084 Å, b = 5.084 Å, c = 8.283 Å, α = 90.00°, β = 90.00° and γ = 90.00°. The inequivalent atoms are Si at (0.000, 0.000, 0.000), B at (0.237, 0.250, 0.125) and W at (0.000, 0.000, 0.500).

As for the uncorrected energy: -7.229 eV per atom. Its mass density is 7.24 g/cm3. The value obtained for the uncorrected formation energy is 703 meV per atom.